# CePr3O8 | Alexandria via LeMat-Bulk | GGA-PBE | optimized geometry
# - density (g/cm³) = 6.343
# - formation energy from raw total energies (eV/atom) = -2.778
# - total moment (μB/cell) = 9.2
data_CePr3O8
_chemical_formula_sum 'Ce3 Pr9 O24'
_cell_length_a 4.0065
_cell_length_b 4.0065
_cell_length_c 39.0292
_cell_angle_alpha 90.00
_cell_angle_beta 90.00
_cell_angle_gamma 120.00
_symmetry_space_group_name_H-M 'R -3 m'
_symmetry_Int_Tables_number 166
_symmetry_space_group_name_Hall '-R 3 2"'
loop_
_atom_site_label
_atom_site_type_symbol
_atom_site_fract_x
_atom_site_fract_y
_atom_site_fract_z
_atom_site_occupancy
Ce1 Ce 0.0000 0.0000 0.0000 1
Pr1 Pr 0.0000 0.0000 0.2522 1
Pr2 Pr 0.0000 0.0000 0.5000 1
O1 O 0.0000 0.0000 0.0584 1
O2 O 0.0000 0.0000 0.1878 1
O3 O 0.0000 0.0000 0.3159 1
O4 O 0.0000 0.0000 0.4366 1

=====

# Ce3PrO | Alexandria via LeMat-Bulk | GGA-PBE | optimized geometry
# - density (g/cm³) = 7.853
# - formation energy from raw total energies (eV/atom) = -1.063
# - total moment (μB/cell) = 0.0
data_Ce3PrO
_chemical_formula_sum 'Ce3 Pr1 O1'
_cell_length_a 4.961
_cell_length_b 4.961
_cell_length_c 4.961
_cell_angle_alpha 90.00
_cell_angle_beta 90.00
_cell_angle_gamma 90.00
_symmetry_space_group_name_H-M 'P m -3 m'
_symmetry_Int_Tables_number 221
_symmetry_space_group_name_Hall '-P 4 2 3'
loop_
_atom_site_label
_atom_site_type_symbol
_atom_site_fract_x
_atom_site_fract_y
_atom_site_fract_z
_atom_site_occupancy
Ce1 Ce 0.000 0.000 0.500 1
Pr1 Pr 0.500 0.500 0.500 1
O1 O 0.000 0.000 0.000 1

=====

# Ce6PrO12 | Alexandria via LeMat-Bulk | GGA-PBE | optimized geometry
# - density (g/cm³) = 6.503
# - formation energy from raw total energies (eV/atom) = -3.443
# - total moment (μB/cell) = 9.5
data_Ce6PrO12
_chemical_formula_sum 'Ce18 Pr3 O36'
_cell_length_a 10.4247
_cell_length_b 10.4247
_cell_length_c 9.5531
_cell_angle_alpha 90.00
_cell_angle_beta 90.00
_cell_angle_gamma 120.00
_symmetry_space_group_name_H-M 'R -3'
_symmetry_Int_Tables_number 148
_symmetry_space_group_name_Hall '-R 3'
loop_
_atom_site_label
_atom_site_type_symbol
_atom_site_fract_x
_atom_site_fract_y
_atom_site_fract_z
_atom_site_occupancy
Ce1 Ce 0.0456 0.2541 0.1539 1
Pr1 Pr 0.0000 0.0000 0.5000 1
O1 O 0.0351 0.2178 0.8960 1
O2 O 0.0349 0.2210 0.3921 1